1.
{
  "formula": "YBi2Pt2",
  "functional": "SCAN",
  "state": "single point on PBEsol structure",
  "spacegroup": "No. 139",
  "n_ef_per_ev_cell": 3.3,
  "formation_enthalpy_0k_ev_per_atom": -0.459,
  "lattice_angstrom": [[-2.216, -1.340, -3.504], [3.689, -0.037, -2.319], [0.252, -5.308, 4.580]],
  "species": ["Y", "Bi", "Bi", "Pt", "Pt"],
  "fractional_positions": [[0.000, 0.000, 0.000], [0.250, 0.750, 0.500], [0.750, 0.250, 0.500], [0.399, 0.399, 0.798], [0.601, 0.601, 0.202]]
}

---

2.
{
  "formula": "RbSn",
  "functional": "SCAN",
  "state": "single point on PBEsol structure",
  "spacegroup": "No. 142",
  "formation_enthalpy_0k_ev_per_atom": -0.363,
  "lattice_angstrom": [[-6.003, 1.407, 9.805], [4.111, -11.545, -2.667], [7.798, 7.740, 3.664]],
  "species": ["Rb", "Rb", "Rb", "Rb", "Rb", "Rb", "Rb", "Rb", "Rb", "Rb", "Rb", "Rb", "Rb", "Rb", "Rb", "Rb", "Sn", "Sn", "Sn", "Sn", "Sn", "Sn", "Sn", "Sn", "Sn", "Sn", "Sn", "Sn", "Sn", "Sn", "Sn", "Sn"],
  "fractional_positions": [[0.875, 0.250, 0.486], [0.014, 0.750, 0.625], [0.736, 0.750, 0.125], [0.375, 0.250, 0.764], [0.375, 0.250, 0.264], [0.236, 0.750, 0.125], [0.514, 0.750, 0.625], [0.875, 0.250, 0.986], [0.371, 0.500, 0.129], [0.621, 0.000, 0.121], [0.379, 0.000, 0.879], [0.129, 0.500, 0.371], [0.879, 0.000, 0.621], [0.629, 0.500, 0.629], [0.871, 0.500, 0.871], [0.121, 0.000, 0.379], [0.055, 0.889, 0.008], [0.132, 0.389, 0.805], [0.258, 0.389, 0.584], [0.695, 0.611, 0.368], [0.916, 0.611, 0.242], [0.492, 0.111, 0.445], [0.618, 0.111, 0.666], [0.834, 0.889, 0.882], [0.195, 0.611, 0.742], [0.118, 0.111, 0.945], [0.992, 0.111, 0.166], [0.555, 0.889, 0.382], [0.334, 0.889, 0.508], [0.758, 0.389, 0.305], [0.632, 0.389, 0.084], [0.416, 0.611, 0.868]]
}

---

3.
{
  "formula": "CaYBO4",
  "functional": "SCAN",
  "state": "single point on PBEsol structure",
  "formation_energy_uncorrected_ev_per_atom": -3.43,
  "spacegroup": "No. 62",
  "n_ef_per_ev_cell": 0.0,
  "lattice_angstrom": [[3.561, 0.000, 0.000], [0.000, 9.567, 0.000], [0.000, 0.000, 10.400]],
  "species": ["Y", "Y", "Y", "Y", "Ca", "Ca", "Ca", "Ca", "B", "B", "B", "B", "O", "O", "O", "O", "O", "O", "O", "O", "O", "O", "O", "O", "O", "O", "O", "O"],
  "fractional_positions": [[0.250, 0.088, 0.112], [0.750, 0.912, 0.888], [0.750, 0.588, 0.388], [0.250, 0.412, 0.612], [0.250, 0.670, 0.084], [0.750, 0.330, 0.916], [0.750, 0.170, 0.416], [0.250, 0.830, 0.584], [0.250, 0.368, 0.200], [0.750, 0.632, 0.800], [0.750, 0.868, 0.300], [0.250, 0.132, 0.700], [0.250, 0.501, 0.252], [0.750, 0.499, 0.748], [0.750, 0.001, 0.248], [0.250, 0.999, 0.752], [0.250, 0.249, 0.277], [0.750, 0.751, 0.723], [0.750, 0.749, 0.223], [0.250, 0.251, 0.777], [0.250, 0.350, 0.067], [0.750, 0.650, 0.933], [0.750, 0.850, 0.433], [0.250, 0.150, 0.567], [0.250, 0.614, 0.507], [0.750, 0.386, 0.493], [0.750, 0.114, 0.993], [0.250, 0.886, 0.007]]
}

---

4.
{
  "formula": "Rb2SrBeCo",
  "functional": "SCAN",
  "state": "single point on PBEsol structure",
  "spacegroup": "No. 123",
  "n_ef_per_ev_cell": 5.9,
  "formation_enthalpy_0k_ev_per_atom": 1.461,
  "lattice_angstrom": [[-0.142, -3.110, -3.590], [6.018, 2.608, -2.497], [3.605, -4.621, 3.861]],
  "species": ["Sr", "Co", "Rb", "Rb", "Be"],
  "fractional_positions": [[0.000, 0.000, 0.000], [0.500, 0.000, 0.000], [0.000, 0.000, 0.500], [0.000, 0.500, 0.000], [0.500, 0.500, 0.500]]
}

---

5.
{
  "formula": "CrOs2Rh",
  "functional": "SCAN",
  "state": "single point on PBEsol structure",
  "spacegroup": "No. 166",
  "n_ef_per_ev_cell": 4.0,
  "e_above_lowest_polymorph_mev_per_atom": 100,
  "formation_enthalpy_0k_ev_per_atom": 0.092,
  "lattice_angstrom": [[-1.784, -1.782, 0.871], [0.302, -1.127, 2.399], [-5.098, 5.378, 4.651]],
  "species": ["Cr", "Os", "Os", "Rh"],
  "fractional_positions": [[0.000, 0.000, 0.000], [0.254, 0.254, 0.239], [0.746, 0.746, 0.761], [0.500, 0.500, 0.500]]
}

---

6.
{
  "formula": "MgCoC3",
  "functional": "SCAN",
  "state": "single point on PBEsol structure",
  "spacegroup": "No. 221",
  "n_ef_per_ev_cell": 2.6,
  "formation_enthalpy_0k_ev_per_atom": 3.205,
  "lattice_angstrom": [[3.944, 0.000, 0.000], [0.000, 3.944, 0.000], [0.000, 0.000, 3.944]],
  "species": ["Mg", "Co", "C", "C", "C"],
  "fractional_positions": [[0.000, 0.000, 0.000], [0.500, 0.500, 0.500], [0.000, 0.500, 0.000], [0.000, 0.000, 0.500], [0.500, 0.000, 0.000]]
}

---

7.
{
  "formula": "HfInSe2",
  "functional": "SCAN",
  "state": "single point on PBEsol structure",
  "formation_energy_uncorrected_ev_per_atom": -0.56,
  "spacegroup": "No. 122",
  "n_ef_per_ev_cell": 6.9,
  "lattice_angstrom": [[-0.133, 6.682, 1.933], [0.984, -5.055, 5.023], [6.296, -0.706, 2.875]],
  "species": ["Hf", "Hf", "Se", "Se", "Se", "Se", "In", "In"],
  "fractional_positions": [[0.750, 0.500, 0.750], [0.000, 0.000, 0.000], [0.692, 0.750, 0.375], [0.058, 0.750, 0.875], [0.875, 0.250, 0.692], [0.375, 0.250, 0.058], [0.250, 0.500, 0.250], [0.500, 0.000, 0.500]]
}

---

8.
{
  "formula": "NaPdNO2",
  "functional": "SCAN",
  "state": "single point on PBEsol structure",
  "formation_energy_uncorrected_ev_per_atom": 0.18,
  "spacegroup": "No. 123",
  "n_ef_per_ev_cell": 3.7,
  "lattice_angstrom": [[-0.479, 3.206, -1.680], [-3.945, -0.889, -0.572], [-0.912, 1.741, 3.581]],
  "species": ["Na", "O", "O", "Pd", "N"],
  "fractional_positions": [[0.500, 0.500, 0.500], [0.000, 0.000, 0.500], [0.000, 0.500, 0.000], [0.000, 0.000, 0.000], [0.500, 0.000, 0.000]]
}

---

Ordered uncorrected energy results: -65.537, -28.693, -13.406, -15.621, -48.887, -7.311, -34.612, -11.570; unit eV per atom.